1.
A plane-wave DFT calculation with GGA-PBE was carried out for TmCuRh after structural relaxation.

Calculated values
The calculation puts the formation energy at -277 meV per atom. Its space-group type is Fmmm, No. 69.

Cell: 5.030 7.636 6.915 Å, 83.12 68.67 70.77°
Element x y z (fractional)
Tm 0.482 0.755 0.282
Tm 0.237 0.245 0.282
Tm 0.763 0.755 0.718
Tm 0.518 0.245 0.718
Cu 0.829 0.000 0.342
Cu 0.914 0.172 0.000
Cu 0.086 0.828 0.000
Cu 0.171 0.000 0.658
Rh 0.023 0.628 0.326
Rh 0.651 0.372 0.326
Rh 0.349 0.628 0.674
Rh 0.977 0.372 0.674

---

2.
A plane-wave DFT calculation with GGA-PBE was carried out for ZnOsI2 after structural relaxation.

Calculated values
The value obtained for the uncorrected formation energy is 3.41 eV/f.u. Its space-group type is I-42d, No. 122.

Cell: 7.204 7.204 7.388 Å, 60.82 60.82 90.00°
Element x y z (fractional)
I 0.703 0.125 0.250
I 0.047 0.625 0.250
I 0.375 0.297 0.750
I 0.875 0.953 0.750
Zn 0.500 0.500 0.000
Zn 0.250 0.750 0.500
Os 0.000 0.000 0.000
Os 0.750 0.250 0.500

---

3.
A plane-wave DFT calculation with GGA-PBE was carried out for Y2Ga2Re after structural relaxation.

Calculated values
The calculation puts the formation energy at -246 meV per atom. Its space-group type is P4/mbm, No. 127.

Cell: 7.048 7.048 4.178 Å, 90.00 90.00 90.00°
Element x y z (fractional)
Y 0.180 0.680 0.500
Y 0.680 0.820 0.500
Y 0.820 0.320 0.500
Y 0.320 0.180 0.500
Re 0.000 0.000 0.000
Re 0.500 0.500 0.000
Ga 0.370 0.870 0.000
Ga 0.870 0.630 0.000
Ga 0.630 0.130 0.000
Ga 0.130 0.370 0.000

---

4.
A plane-wave DFT calculation with GGA-PBE was carried out for Er6Fe2Si after structural relaxation.

Calculated values
The value obtained for the uncorrected formation energy is -1.82 eV/f.u. Its space-group type is Immm, No. 71.

Cell: 8.182 8.182 8.182 Å, 106.96 110.58 110.91°
Site moments in Bohr magnetons follow the coordinates.
Element x y z (fractional)
Er 0.538 0.721 0.816  -0.15
Er 0.462 0.279 0.184  -0.15
Er 0.095 0.279 0.816  -0.15
Er 0.905 0.721 0.184  -0.15
Er 0.796 0.766 0.563  -0.09
Er 0.204 0.234 0.437  -0.09
Er 0.204 0.766 0.970  -0.09
Er 0.796 0.234 0.030  -0.09
Er 0.702 0.384 0.682  -0.12
Er 0.298 0.616 0.318  -0.12
Er 0.298 0.980 0.682  -0.12
Er 0.702 0.020 0.318  -0.12
Fe 0.500 0.390 0.890  1.14
Fe 0.500 0.610 0.110  1.14
Fe 0.620 0.000 0.620  1.04
Fe 0.380 0.000 0.380  1.04
Si 0.000 0.500 0.500  0.00
Si 0.000 0.000 0.000  -0.01

---

5.
A plane-wave DFT calculation with GGA-PBE was carried out for Ca3PaPt3 after structural relaxation.

Calculated values
The calculation puts the formation energy at -790 meV per atom. Its space-group type is C2/m, No. 12.

Cell: 7.304 7.304 7.375 Å, 77.16 77.16 74.24°
Element x y z (fractional)
Ca 0.281 0.281 0.483
Ca 0.204 0.796 0.500
Ca 0.796 0.204 0.500
Ca 0.296 0.704 0.000
Ca 0.704 0.296 0.000
Ca 0.719 0.719 0.517
Pa 0.204 0.204 0.029
Pa 0.796 0.796 0.971
Pt 0.049 0.049 0.792
Pt 0.501 0.997 0.229
Pt 0.997 0.501 0.229
Pt 0.499 0.003 0.771
Pt 0.003 0.499 0.771
Pt 0.951 0.951 0.208

---

6.
A plane-wave DFT calculation with GGA-PBE was carried out for TcHgGeOsW after structural relaxation.

Calculated values
The calculation puts the formation energy at 340 meV per atom. Its space-group type is Amm2, No. 38.

Cell: 4.204 2.901 15.145 Å, 90.00 90.00 90.00°
Element x y z (fractional)
Tc 0.000 0.000 0.254
Tc 0.000 0.500 0.754
Hg 0.000 0.000 0.937
Hg 0.000 0.500 0.437
Ge 0.500 0.000 0.799
Ge 0.500 0.500 0.299
Os 0.000 0.000 0.597
Os 0.000 0.500 0.097
W 0.500 0.000 0.148
W 0.500 0.500 0.648

---

7.
A plane-wave DFT calculation with GGA-PBE was carried out for SrAlCd2 after structural relaxation.

Calculated values
The calculation puts the formation energy at 64 meV per atom. Its space-group type is C2/m, No. 12.

Cell: 5.965 6.299 3.345 Å, 77.74 83.56 116.34°
Element x y z (fractional)
Sr 0.000 0.500 0.500
Al 0.500 0.500 0.000
Cd 0.000 0.000 0.000
Cd 0.500 0.000 0.500

---

8.
A plane-wave DFT calculation with GGA-PBE was carried out for PmU4P5 after structural relaxation.

Calculated values
The calculation puts the formation energy at -1072 meV per atom. Its space-group type is C2/m, No. 12.

Cell: 3.950 6.926 8.868 Å, 75.02 77.13 73.43°
Site moments in Bohr magnetons follow the coordinates.
Element x y z (fractional)
Pm 0.000 0.000 0.000  0.00
U 0.599 0.203 0.600  2.00
U 0.202 0.393 0.202  1.97
U 0.798 0.607 0.798  1.97
U 0.401 0.797 0.400  2.00
P 0.202 0.902 0.694  -0.07
P 0.798 0.098 0.306  -0.07
P 0.395 0.315 0.896  -0.06
P 0.000 0.500 0.500  -0.08
P 0.605 0.685 0.104  -0.06

---

9.
A plane-wave DFT calculation with GGA-PBE was carried out for AuCS2 after structural relaxation.

Calculated values
The value obtained for the uncorrected formation energy is 2.25 eV/f.u. Its space-group type is R-3m, No. 166.

Cell: 6.333 6.333 6.333 Å, 38.34 38.34 38.34°
Element x y z (fractional)
S 0.910 0.910 0.910
S 0.090 0.090 0.090
Au 0.500 0.500 0.500
C 0.000 0.000 0.000

---

10.
A plane-wave DFT calculation with GGA-PBE was carried out for RbMgNi2 after structural relaxation.

Calculated values
The calculation puts the formation energy at 617 meV per atom. Its space-group type is I4_1/amd, No. 141.

Cell: 4.866 4.866 9.586 Å, 75.30 75.30 90.00°
Site moments in Bohr magnetons follow the coordinates.
Element x y z (fractional)
Ni 0.375 0.125 0.250  0.60
Ni 0.375 0.625 0.250  0.60
Ni 0.375 0.625 0.750  0.41
Ni 0.875 0.625 0.750  0.41
Mg 0.500 0.500 0.000  -0.01
Mg 0.250 0.750 0.500  -0.01
Rb 0.000 0.000 0.000  -0.01
Rb 0.750 0.250 0.500  -0.01

---

11.
A plane-wave DFT calculation with GGA-PBE was carried out for KB2Os after structural relaxation.

Calculated values
The calculation puts the formation energy at 1954 meV per atom. Its space-group type is Fm-3m, No. 225.

Cell: 4.220 4.220 4.220 Å, 60.00 60.00 60.00°
Element x y z (fractional)
K 0.000 0.000 0.000
B 0.250 0.250 0.250
B 0.750 0.750 0.750
Os 0.500 0.500 0.500

---

12.
A plane-wave DFT calculation with GGA-PBE was carried out for ZrMn2H after structural relaxation.

Calculated values
Its space-group type is Fm-3m, No. 225. For the total DFT energy (no corrections), the calculation gives -0.49639 Ry/atom.

Cell: 4.253 4.253 4.253 Å, 60.00 60.00 60.00°
Site moments in Bohr magnetons follow the coordinates.
Element x y z (fractional)
H 0.000 0.000 0.000  0.00
Mn 0.250 0.250 0.250  2.61
Mn 0.750 0.750 0.750  2.61
Zr 0.500 0.500 0.500  -0.56

---

Calculated values (Å³ per atom) of calculated volume for the records, taken in order: 19.47 34.72 20.75 23.39 25.98 18.47 26.74 22.17 21.94 26.48 13.28 13.60.